No. 1
# GGA-PBE BiSb2Ru2, optimized geometry
data_BiSb2Ru2
_chemical_formula_sum 'Bi2 Sb4 Ru4'
_cell_length_a 4.288
_cell_length_b 4.288
_cell_length_c 11.889
_cell_angle_alpha 90.00
_cell_angle_beta 90.00
_cell_angle_gamma 90.00
_symmetry_space_group_name_H-M 'I 4/m m m'
_symmetry_Int_Tables_number 139
_symmetry_space_group_name_Hall '-I 4 2'
loop_
_atom_site_label
_atom_site_fract_x
_atom_site_fract_y
_atom_site_fract_z
Bi1 0.000 0.000 0.000
Sb1 0.000 0.500 0.250
Ru1 0.000 0.000 0.382
# - relative energy among the computed polymorphs (eV per atom) = 0.1422
# - total energy (eV per atom) = -5.8737
# - density of states at the Fermi level (states/eV per cell) = 6.9
# - energy relative to the elements, uncorrected (eV per formula unit) = 1.31

No. 2
# GGA-PBE YNbTeI2, optimized geometry
data_YNbTeI2
_chemical_formula_sum 'Y1 Nb1 Te1 I2'
_cell_length_a 5.538
_cell_length_b 5.538
_cell_length_c 5.575
_cell_angle_alpha 90.00
_cell_angle_beta 90.00
_cell_angle_gamma 90.00
_symmetry_space_group_name_H-M 'P 4/m m m'
_symmetry_Int_Tables_number 123
_symmetry_space_group_name_Hall '-P 4 2'
loop_
_atom_site_label
_atom_site_fract_x
_atom_site_fract_y
_atom_site_fract_z
Y1 0.000 0.000 0.000
Nb1 0.500 0.500 0.500
Te1 0.500 0.500 0.000
I1 0.000 0.500 0.500
# - relative energy among the computed polymorphs (eV per atom) = 0.0000
# - total energy (eV per atom) = -4.4405
# - density of states at the Fermi level (states/eV per cell) = 6.1
# - energy relative to the elements, uncorrected (eV per formula unit) = 0.57

No. 3
# GGA-PBE ErLuInRu, optimized geometry
data_ErLuInRu
_chemical_formula_sum 'Er4 Lu4 In4 Ru4'
_cell_length_a 7.053
_cell_length_b 7.053
_cell_length_c 7.053
_cell_angle_alpha 90.00
_cell_angle_beta 90.00
_cell_angle_gamma 90.00
_symmetry_space_group_name_H-M 'F -4 3 m'
_symmetry_Int_Tables_number 216
_symmetry_space_group_name_Hall 'F -4 2 3'
loop_
_atom_site_label
_atom_site_fract_x
_atom_site_fract_y
_atom_site_fract_z
Er1 0.000 0.000 0.000
Lu1 0.000 0.000 0.500
In1 0.250 0.250 0.750
Ru1 0.250 0.250 0.250
# - formation energy (eV per atom) = -0.37
# - total energy (eV per atom) = -5.6460
# - density of states at the Fermi level (states/eV per cell) = 12.3

Look up the density of states at the Fermi level of the third one.
12.3 states/eV per cell

Which of these has the lowest total energy?
BiSb2Ru2